# HoCuSe2 | OQMD | GGA-PBE | relaxed
# Calculated total energy ... -80.39 eV per cell
data_HoCuSe2
_chemical_formula_sum 'Ho4 Cu4 Se8'
_space_group_name_H-M_alt 'P 1 21/c 1'
_space_group_IT_number 14
_cell_length_a 6.587
_cell_length_b 7.304
_cell_length_c 7.056
_cell_angle_alpha 90.00
_cell_angle_beta 96.11
_cell_angle_gamma 90.00
loop_
_space_group_symop_operation_xyz
'x,y,z'
'-x,-y,-z'
'-x,y+1/2,-z+1/2'
'x,-y+1/2,z+1/2'
loop_
_atom_site_label
_atom_site_fract_x
_atom_site_fract_y
_atom_site_fract_z
Ho1 0.197 0.042 0.299
Cu1 0.423 0.658 0.454
Se1 0.069 0.725 0.497
Se2 0.400 0.112 0.717